# 1
Here is a relaxed structure of Mn2ZnSe from the Alexandria database. Energies are from PBE. Values from VASP.

Results
Formation energy from raw total energies in eV per atom: 0.082
Fermi-level density of states in states/eV/f.u.: 2.2
Mass density in Mg/m³: 6.78
Symmetry: Pmmm, No. 47

Quantum ESPRESSO input file:
```
&SYSTEM
  ibrav = 0, nat = 4, ntyp = 3
/
ATOMIC_SPECIES
Mn 54.94 Mn.upf
Se 78.96 Se.upf
Zn 65.41 Zn.upf
ATOMIC_POSITIONS crystal
Mn 0.000 0.002 0.997
Mn 0.000 0.498 0.503
Se 0.500 0.250 0.250
Zn 0.500 0.750 0.750
CELL_PARAMETERS angstrom
-1.476 2.690 -1.236
-1.581 -1.892 -2.230
-5.876 -2.583 1.394
```

# 2
Here is a relaxed structure of Cu4Pd2Pt from the Alexandria database. Energies are from PBE. Values from VASP.

Results
Fermi-level density of states in states/eV/f.u.: 1.9
Mass density in Mg/m³: 11.14
Calculated formation energy in eV per formula unit: 0.1
Symmetry: Cmcm, No. 63

Quantum ESPRESSO input file:
```
&SYSTEM
  ibrav = 0, nat = 14, ntyp = 3
/
ATOMIC_SPECIES
Cu 63.55 Cu.upf
Pd 106.42 Pd.upf
Pt 195.08 Pt.upf
ATOMIC_POSITIONS crystal
Cu 0.790 0.580 0.151
Cu 0.790 0.580 0.349
Cu 0.210 0.420 0.849
Cu 0.210 0.420 0.651
Cu 0.897 0.794 0.750
Cu 0.103 0.206 0.250
Cu 0.500 0.000 0.000
Cu 0.500 0.000 0.500
Pd 0.163 0.326 0.444
Pd 0.837 0.674 0.944
Pd 0.163 0.326 0.056
Pd 0.837 0.674 0.556
Pt 0.555 0.110 0.750
Pt 0.445 0.890 0.250
CELL_PARAMETERS angstrom
4.382 0.000 0.000
-2.191 3.617 0.000
0.000 0.000 12.456
```

# 3
Here is a relaxed structure of ZnMoRh2 from the Alexandria database. Energies are from PBE. Values from VASP.

Results
Fermi-level density of states in states/eV/f.u.: 2.6
Mass density in Mg/m³: 10.54
Calculated formation energy in eV per formula unit: -1.0
Symmetry: Pmmm, No. 47

Quantum ESPRESSO input file:
```
&SYSTEM
  ibrav = 0, nat = 4, ntyp = 3
/
ATOMIC_SPECIES
Mo 95.94 Mo.upf
Rh 102.91 Rh.upf
Zn 65.41 Zn.upf
ATOMIC_POSITIONS crystal
Mo 0.500 0.500 0.750
Rh 0.000 0.000 0.001
Rh 0.000 0.000 0.499
Zn 0.500 0.500 0.250
CELL_PARAMETERS angstrom
2.802 0.000 0.000
0.000 3.679 0.000
0.000 0.000 5.611
```

# 4
Here is a relaxed structure of CuNi2Os from the Alexandria database. Energies are from PBE. Values from VASP.

Results
Fermi-level density of states in states/eV/f.u.: 7.9
Mass density in Mg/m³: 11.72
Calculated formation energy in eV per formula unit: 3.0
Symmetry: I-42d, No. 122

Quantum ESPRESSO input file:
```
&SYSTEM
  ibrav = 0, nat = 8, ntyp = 3
/
ATOMIC_SPECIES
Ni 58.69 Ni.upf
Os 190.23 Os.upf
Cu 63.55 Cu.upf
ATOMIC_POSITIONS crystal
Ni 0.624 0.125 0.250
Ni 0.126 0.625 0.250
Ni 0.375 0.376 0.750
Ni 0.875 0.874 0.750
Os 0.000 0.000 0.000
Os 0.750 0.250 0.500
Cu 0.500 0.500 0.000
Cu 0.250 0.750 0.500
CELL_PARAMETERS angstrom
-4.552 2.889 3.596
2.013 -3.302 5.201
0.335 1.637 4.948
```

# 5
Here is a relaxed structure of AlPtW2 from the Alexandria database. Energies are from PBE. Values from VASP.

Results
Fermi-level density of states in states/eV/f.u.: 2.6
Mass density in Mg/m³: 15.56
Calculated formation energy in eV per formula unit: 0.0
Symmetry: R-3m, No. 166

Quantum ESPRESSO input file:
```
&SYSTEM
  ibrav = 0, nat = 4, ntyp = 3
/
ATOMIC_SPECIES
W 183.84 W.upf
Pt 195.08 Pt.upf
Al 26.98 Al.upf
ATOMIC_POSITIONS crystal
W 0.000 0.000 0.000
W 0.500 0.500 0.500
Pt 0.750 0.750 0.750
Al 0.250 0.250 0.250
CELL_PARAMETERS angstrom
-2.918 -2.563 8.465
-0.877 -4.472 8.122
-0.256 -1.910 9.112
```

# 6
Here is a relaxed structure of CaTm3Au4 from the Alexandria database. Energies are from PBE. Values from VASP.

Results
Fermi-level density of states in states/eV/f.u.: 4.1
Mass density in Mg/m³: 12.20
Calculated formation energy in eV per formula unit: -6.9
Symmetry: R-3m, No. 166

Quantum ESPRESSO input file:
```
&SYSTEM
  ibrav = 0, nat = 8, ntyp = 3
/
ATOMIC_SPECIES
Ca 40.08 Ca.upf
Tm 168.93 Tm.upf
Au 196.97 Au.upf
ATOMIC_POSITIONS crystal
Ca 0.000 0.000 0.000
Tm 0.251 0.251 0.247
Tm 0.749 0.749 0.753
Tm 0.500 0.500 0.500
Au 0.870 0.870 0.391
Au 0.380 0.380 0.861
Au 0.130 0.130 0.609
Au 0.620 0.620 0.139
CELL_PARAMETERS angstrom
0.409 4.805 1.420
-2.495 1.648 4.041
5.783 0.180 6.623
```

# 7
Here is a relaxed structure of TlSnTe4 from the Alexandria database. Energies are from PBE. Values from VASP.

Results
Formation energy from raw total energies in eV per atom: -0.038
Fermi-level density of states in states/eV/f.u.: 1.8
Mass density in Mg/m³: 5.81
Symmetry: P2/c, No. 13

Quantum ESPRESSO input file:
```
&SYSTEM
  ibrav = 0, nat = 12, ntyp = 3
/
ATOMIC_SPECIES
Tl 204.38 Tl.upf
Sn 118.71 Sn.upf
Te 127.60 Te.upf
ATOMIC_POSITIONS crystal
Tl 0.500 0.250 0.243
Tl 0.500 0.750 0.757
Sn 0.000 0.250 0.744
Sn 0.000 0.750 0.256
Te 0.210 0.543 0.039
Te 0.295 0.396 0.572
Te 0.790 0.957 0.039
Te 0.705 0.604 0.428
Te 0.705 0.104 0.572
Te 0.210 0.043 0.961
Te 0.295 0.896 0.428
Te 0.790 0.457 0.961
CELL_PARAMETERS angstrom
-2.925 -1.471 5.018
-5.540 -5.826 -3.778
5.923 -6.613 1.514
```

# 8
Here is a relaxed structure of SrBS2N from the Alexandria database. Energies are from PBE. Values from VASP.

Results
Formation energy from raw total energies in eV per atom: -0.312
Fermi-level density of states in states/eV/f.u.: 2.8
Mass density in Mg/m³: 3.53
Symmetry: P4/mmm, No. 123

Quantum ESPRESSO input file:
```
&SYSTEM
  ibrav = 0, nat = 5, ntyp = 4
/
ATOMIC_SPECIES
Sr 87.62 Sr.upf
S 32.06 S.upf
B 10.81 B.upf
N 14.01 N.upf
ATOMIC_POSITIONS crystal
Sr 0.500 0.500 0.500
S 0.000 0.500 0.000
S 0.500 0.000 0.000
B 0.000 0.000 0.000
N 0.000 0.000 0.500
CELL_PARAMETERS angstrom
-0.796 -4.612 -2.862
4.312 -2.295 2.498
-1.656 -0.948 1.988
```

no.,energy (eV/atom)
1,-5.69
2,-4.67
3,-6.95
4,-5.98
5,-8.92
6,-4.43
7,-3.19
8,-5.30